Entry 1:
# EuTlPb2

An optimized crystal structure of EuTlPb2 (PBE-GGA, Alexandria).

Structure (CIF):
```
data_EuTlPb2
_chemical_formula_sum 'Eu1 Tl1 Pb2'
_space_group_name_H-M_alt 'P 4/m m m'
_space_group_IT_number 123
_space_group_name_Hall '-P 4 2'
_cell_length_a 4.1573
_cell_length_b 4.1573
_cell_length_c 7.2449
_cell_angle_alpha 90.00
_cell_angle_beta 90.00
_cell_angle_gamma 90.00
loop_
_atom_site_label
_atom_site_fract_x
_atom_site_fract_y
_atom_site_fract_z
Eu1 0.0000 0.0000 0.0000
Tl1 0.0000 0.0000 0.5000
Pb1 0.5000 0.5000 0.2678
```

Values from the calculation:
- Calculated formation energy: -225 meV per atom
- Uncorrected energy: -20.956 eV per formula unit

Entry 2:
# KInCl2O

An optimized crystal structure of KInCl2O (PBE-GGA, Alexandria).

Structure (CIF):
```
data_KInCl2O
_chemical_formula_sum 'K1 In1 Cl2 O1'
_space_group_name_H-M_alt 'P 4/m m m'
_space_group_IT_number 123
_space_group_name_Hall '-P 4 2'
_cell_length_a 5.1340
_cell_length_b 5.1340
_cell_length_c 8.3965
_cell_angle_alpha 90.00
_cell_angle_beta 90.00
_cell_angle_gamma 90.00
loop_
_atom_site_label
_atom_site_fract_x
_atom_site_fract_y
_atom_site_fract_z
K1 0.0000 0.0000 0.0000
In1 0.0000 0.0000 0.5000
Cl1 0.0000 0.5000 0.5000
O1 0.5000 0.5000 0.0000
```

Values from the calculation:
- Energy relative to the lowest polymorph listed for this composition: 0.3 kJ per mole of atoms
- Energy relative to the elements, uncorrected: -394 meV per atom
- Uncorrected energy: -14.460 eV per formula unit

Entry 3:
# La2BiO5

An optimized crystal structure of La2BiO5 (PBE-GGA, Alexandria).

Structure (CIF):
```
data_La2BiO5
_chemical_formula_sum 'La4 Bi2 O10'
_space_group_name_H-M_alt 'P 1'
_space_group_IT_number 1
_cell_length_a 5.6653
_cell_length_b 5.7272
_cell_length_c 9.0118
_cell_angle_alpha 71.52
_cell_angle_beta 88.88
_cell_angle_gamma 86.66
loop_
_space_group_symop_operation_xyz
'x,y,z'
loop_
_atom_site_label
_atom_site_fract_x
_atom_site_fract_y
_atom_site_fract_z
La1 0.0000 0.0000 0.0000
La2 0.9995 0.3378 0.3243
La3 0.4997 0.8390 0.3220
La4 0.9990 0.6777 0.6453
Bi1 0.4991 0.1872 0.6267
Bi2 0.5001 0.4821 0.0350
O1 0.2409 0.6825 0.1394
O2 0.2583 0.9794 0.5441
O3 0.2599 0.5021 0.4771
O4 0.2615 0.1818 0.1630
O5 0.2656 0.2706 0.8005
O6 0.7314 0.9315 0.8009
O7 0.7383 0.6548 0.1630
O8 0.7386 0.0213 0.4774
O9 0.7399 0.4777 0.5437
O10 0.7590 0.1772 0.1401
```

Values from the calculation:
- Energy relative to the lowest polymorph listed for this composition: 2.5 kJ per mole of atoms
- Energy relative to the elements, uncorrected: -2518 meV per atom
- Uncorrected energy: -58.673 eV per formula unit

Entry 4:
# PuIn3Pd4

An optimized crystal structure of PuIn3Pd4 (PBE-GGA, Alexandria).

Structure (CIF):
```
data_PuIn3Pd4
_chemical_formula_sum 'Pu3 In9 Pd12'
_space_group_name_H-M_alt 'R -3 m'
_space_group_IT_number 166
_space_group_name_Hall '-R 3 2"'
_cell_length_a 4.7889
_cell_length_b 4.7889
_cell_length_c 23.1703
_cell_angle_alpha 90.00
_cell_angle_beta 90.00
_cell_angle_gamma 120.00
loop_
_atom_site_label
_atom_site_fract_x
_atom_site_fract_y
_atom_site_fract_z
Pu1 0.0000 0.0000 0.0000
In1 0.0000 0.0000 0.2516
In2 0.0000 0.0000 0.5000
Pd1 0.0000 0.0000 0.1297
Pd2 0.0000 0.0000 0.3819
```

Values from the calculation:
- Calculated formation energy: -475 meV per atom
- Uncorrected energy: -47.122 eV per formula unit

Entry 5:
# Nd2Al2Co2C

An optimized crystal structure of Nd2Al2Co2C (PBE-GGA, Alexandria).

Structure (CIF):
```
data_Nd2Al2Co2C
_chemical_formula_sum 'Nd4 Al4 Co4 C2'
_space_group_name_H-M_alt 'C 1 2/m 1'
_space_group_IT_number 12
_cell_length_a 11.1189
_cell_length_b 4.1136
_cell_length_c 7.1689
_cell_angle_alpha 90.00
_cell_angle_beta 129.63
_cell_angle_gamma 90.00
loop_
_space_group_symop_operation_xyz
'x,y,z'
'-x,-y,-z'
'-x,y,-z'
'x,-y,z'
'x+1/2,y+1/2,z'
'-x+1/2,-y+1/2,-z'
'-x+1/2,y+1/2,-z'
'x+1/2,-y+1/2,z'
loop_
_atom_site_label
_atom_site_fract_x
_atom_site_fract_y
_atom_site_fract_z
Nd1 0.0550 0.0000 0.2887
Al1 0.1705 0.5000 0.7347
Co1 0.1905 0.5000 0.0896
C1 0.0000 0.5000 0.0000
```

Values from the calculation:
- Calculated formation energy: -390 meV per atom
- Uncorrected energy: -43.188 eV per formula unit

Entry 6:
# CaIn2AgCl5

An optimized crystal structure of CaIn2AgCl5 (PBE-GGA, Alexandria).

Structure (CIF):
```
data_CaIn2AgCl5
_chemical_formula_sum 'Ca4 In8 Ag4 Cl20'
_space_group_name_H-M_alt 'C m c 21'
_space_group_IT_number 36
_cell_length_a 4.1658
_cell_length_b 18.2903
_cell_length_c 13.9513
_cell_angle_alpha 90.00
_cell_angle_beta 90.00
_cell_angle_gamma 90.00
loop_
_space_group_symop_operation_xyz
'x,y,z'
'-x,-y,z+1/2'
'-x,y,z'
'x,-y,z+1/2'
'x+1/2,y+1/2,z'
'-x+1/2,-y+1/2,z+1/2'
'-x+1/2,y+1/2,z'
'x+1/2,-y+1/2,z+1/2'
loop_
_atom_site_label
_atom_site_fract_x
_atom_site_fract_y
_atom_site_fract_z
Ca1 0.0000 0.2112 0.0000
In1 0.0000 0.0940 0.6387
In2 0.0000 0.1321 0.2915
Ag1 0.0000 0.4531 0.4116
Cl1 0.0000 0.0588 0.0226
Cl2 0.0000 0.2782 0.6303
Cl3 0.0000 0.3024 0.3695
Cl4 0.0000 0.3602 0.9750
Cl5 0.0000 0.4916 0.7476
```

Values from the calculation:
- Energy relative to the elements, uncorrected: -1259 meV per atom
- Uncorrected energy: -30.890 eV per formula unit